{
  "formula": "Cs2NaHCl6",
  "functional": "GGA-PBE",
  "state": "relaxed",
  "lattice_angstrom": [[-3.487, 3.487, 6.379], [3.487, -3.487, 6.379], [3.487, 3.487, -6.379]],
  "species": ["Cs", "Cs", "Na", "H", "Cl", "Cl", "Cl", "Cl", "Cl", "Cl"],
  "frac_coords": [[0.250, 0.750, 0.500], [0.750, 0.250, 0.500], [0.000, 0.000, 0.000], [0.500, 0.500, 0.000], [0.207, 0.207, 0.000], [0.297, 0.297, 0.593], [0.297, 0.703, 0.000], [0.703, 0.297, 0.000], [0.703, 0.703, 0.407], [0.793, 0.793, 0.000]],
  "sg": "I4/mmm (139)",
  "e_tot_ev_per_atom": -2.6477
}



{
  "formula": "Cs3NaH2Cl6",
  "functional": "GGA-PBE",
  "state": "relaxed",
  "lattice_angstrom": [[7.152, 0.000, 0.000], [-3.576, 6.194, 0.000], [0.000, 0.000, 8.802]],
  "species": ["Cs", "Cs", "Cs", "Na", "H", "H", "Cl", "Cl", "Cl", "Cl", "Cl", "Cl"],
  "frac_coords": [[0.000, 0.000, 0.000], [0.333, 0.667, 0.658], [0.667, 0.333, 0.342], [0.000, 0.000, 0.500], [0.333, 0.667, 0.295], [0.667, 0.333, 0.705], [0.185, 0.369, 0.298], [0.185, 0.815, 0.298], [0.369, 0.185, 0.702], [0.631, 0.815, 0.298], [0.815, 0.185, 0.702], [0.815, 0.631, 0.702]],
  "sg": "P-3m1 (164)",
  "e_tot_ev_per_atom": -3.1120
}



{
  "formula": "CsNa2H4Cl3O2",
  "functional": "GGA-PBE",
  "state": "relaxed",
  "lattice_angstrom": [[8.561, -2.951, 0.000], [8.561, 2.951, 0.000], [-6.726, 0.000, 8.667]],
  "species": ["Cs", "Cs", "Na", "Na", "Na", "Na", "H", "H", "H", "H", "H", "H", "H", "H", "Cl", "Cl", "Cl", "Cl", "Cl", "Cl", "O", "O", "O", "O"],
  "frac_coords": [[0.250, 0.250, 0.250], [0.750, 0.750, 0.750], [0.250, 0.750, 0.250], [0.250, 0.750, 0.750], [0.586, 0.414, 0.000], [0.914, 0.086, 0.500], [0.175, 0.183, 0.513], [0.325, 0.317, 0.988], [0.571, 0.199, 0.113], [0.683, 0.675, 0.012], [0.699, 0.071, 0.613], [0.801, 0.429, 0.887], [0.817, 0.825, 0.487], [0.929, 0.301, 0.387], [0.076, 0.924, 0.000], [0.131, 0.183, 0.821], [0.369, 0.316, 0.679], [0.425, 0.575, 0.500], [0.684, 0.631, 0.321], [0.817, 0.869, 0.179], [0.062, 0.157, 0.432], [0.439, 0.343, 0.068], [0.657, 0.561, 0.932], [0.843, 0.938, 0.568]],
  "sg": "C2 (5)",
  "e_tot_ev_per_atom": -4.1467
}



{
  "formula": "CsH2ClO",
  "functional": "GGA-PBE",
  "state": "relaxed",
  "lattice_angstrom": [[3.484, -4.196, 0.000], [3.484, 4.196, 0.000], [0.000, 0.000, 7.703]],
  "species": ["Cs", "Cs", "H", "H", "H", "H", "Cl", "Cl", "O", "O"],
  "frac_coords": [[0.196, 0.804, 0.750], [0.804, 0.196, 0.250], [0.414, 0.586, 0.087], [0.414, 0.586, 0.413], [0.586, 0.414, 0.587], [0.586, 0.414, 0.913], [0.227, 0.773, 0.250], [0.773, 0.227, 0.750], [0.500, 0.500, 0.000], [0.500, 0.500, 0.500]],
  "sg": "Cmcm (63)",
  "e_tot_ev_per_atom": -4.0702
}



For each record above, in turn, the calculated M_tot values are 0.200, 0.000, 0.013, 0.008 μB/atom.
For each record above, in turn, the calculated Fermi-level density of states values are 2.44, 0.00, 0.00, 0.00 states/eV per cell.
For each record above, in turn, the calculated V values are 31.02, 32.49, 18.25, 22.52 Å³/atom.